No. 1
Density functional theory data (GGA-PBE) for a geometry-optimized Sm3Zn4Pt2 structure.

Results
Formation energy from the elements, eV per atom: -0.712
Total magnetic moment, μB per formula unit: 0.00
SG: No. 12

```
data_Sm3Zn4Pt2
_chemical_formula_sum 'Sm3 Zn4 Pt2'
_symmetry_space_group_name_H-M 'P 1'
_symmetry_Int_Tables_number 1
_cell_length_a 4.4639
_cell_length_b 5.8308
_cell_length_c 8.3843
_cell_angle_alpha 71.45
_cell_angle_beta 74.56
_cell_angle_gamma 67.49
loop_
_symmetry_equiv_pos_as_xyz
'x,y,z'
loop_
_atom_site_label
_atom_site_fract_x
_atom_site_fract_y
_atom_site_fract_z
_atom_site_occupancy
Zn1 0.0340 0.3054 0.6266 1
Zn2 0.2815 0.3873 0.0496 1
Zn3 0.9660 0.6946 0.3734 1
Zn4 0.7185 0.6127 0.9504 1
Sm1 0.3195 0.7122 0.6488 1
Sm2 0.0000 0.0000 0.0000 1
Sm3 0.6805 0.2878 0.3512 1
Pt1 0.6004 0.0669 0.7323 1
Pt2 0.3996 0.9331 0.2677 1
```



No. 2
Density functional theory data (GGA-PBE) for a geometry-optimized SmZn2Pt6 structure.

Results
Formation energy from the elements, eV per atom: -0.249
Total magnetic moment, μB per formula unit: 0.00
SG: No. 227

```
data_SmZn2Pt6
_chemical_formula_sum 'Sm2 Zn4 Pt12'
_symmetry_space_group_name_H-M 'P 1'
_symmetry_Int_Tables_number 1
_cell_length_a 7.9991
_cell_length_b 7.9991
_cell_length_c 7.9991
_cell_angle_alpha 60.00
_cell_angle_beta 60.00
_cell_angle_gamma 60.00
loop_
_symmetry_equiv_pos_as_xyz
'x,y,z'
loop_
_atom_site_label
_atom_site_fract_x
_atom_site_fract_y
_atom_site_fract_z
_atom_site_occupancy
Pt1 0.9941 0.9941 0.5059 1
Pt2 0.2559 0.7441 0.2559 1
Pt3 0.2559 0.2559 0.7441 1
Pt4 0.7441 0.2559 0.7441 1
Pt5 0.7441 0.2559 0.2559 1
Pt6 0.2559 0.7441 0.7441 1
Pt7 0.5059 0.9941 0.9941 1
Pt8 0.9941 0.5059 0.5059 1
Pt9 0.9941 0.5059 0.9941 1
Pt10 0.5059 0.9941 0.5059 1
Pt11 0.5059 0.5059 0.9941 1
Pt12 0.7441 0.7441 0.2559 1
Zn1 0.1250 0.6250 0.1250 1
Zn2 0.1250 0.1250 0.6250 1
Zn3 0.6250 0.1250 0.1250 1
Zn4 0.1250 0.1250 0.1250 1
Sm1 0.5000 0.5000 0.5000 1
Sm2 0.7500 0.7500 0.7500 1
```



No. 3
Density functional theory data (GGA-PBE) for a geometry-optimized Sm3Zn2Pt6 structure.

Results
Formation energy from the elements, eV per atom: -0.947
Total magnetic moment, μB per formula unit: 0.00
SG: No. 229

```
data_Sm3Zn2Pt6
_chemical_formula_sum 'Sm6 Zn4 Pt12'
_symmetry_space_group_name_H-M 'P 1'
_symmetry_Int_Tables_number 1
_cell_length_a 8.3228
_cell_length_b 8.3228
_cell_length_c 8.3228
_cell_angle_alpha 109.47
_cell_angle_beta 109.47
_cell_angle_gamma 109.47
loop_
_symmetry_equiv_pos_as_xyz
'x,y,z'
loop_
_atom_site_label
_atom_site_fract_x
_atom_site_fract_y
_atom_site_fract_z
_atom_site_occupancy
Zn1 0.5000 0.5000 0.5000 1
Zn2 0.0000 0.5000 0.0000 1
Zn3 0.5000 0.0000 0.0000 1
Zn4 0.0000 0.0000 0.5000 1
Pt1 0.6533 0.3266 0.3266 1
Pt2 0.0000 0.3266 0.6734 1
Pt3 0.3266 0.6533 0.3266 1
Pt4 0.3467 0.6734 0.6734 1
Pt5 0.6734 0.3467 0.6734 1
Pt6 0.6734 0.0000 0.3266 1
Pt7 0.3266 0.0000 0.6734 1
Pt8 0.0000 0.6734 0.3266 1
Pt9 0.3266 0.6734 0.0000 1
Pt10 0.6734 0.3266 0.0000 1
Pt11 0.6734 0.6734 0.3467 1
Pt12 0.3266 0.3266 0.6533 1
Sm1 0.3024 0.3024 0.0000 1
Sm2 0.3024 0.0000 0.3024 1
Sm3 0.6976 0.0000 0.6976 1
Sm4 0.0000 0.3024 0.3024 1
Sm5 0.0000 0.6976 0.6976 1
Sm6 0.6976 0.6976 0.0000 1
```



No. 4
Density functional theory data (GGA-PBE) for a geometry-optimized Sm3Zn6Pt5 structure.

Results
Formation energy from the elements, eV per atom: -0.790
Total magnetic moment, μB per formula unit: 0.00
SG: No. 59

```
data_Sm3Zn6Pt5
_chemical_formula_sum 'Sm6 Zn12 Pt10'
_symmetry_space_group_name_H-M 'P 1'
_symmetry_Int_Tables_number 1
_cell_length_a 4.2898
_cell_length_b 9.5121
_cell_length_c 12.8049
_cell_angle_alpha 90.00
_cell_angle_beta 90.00
_cell_angle_gamma 90.00
loop_
_symmetry_equiv_pos_as_xyz
'x,y,z'
loop_
_atom_site_label
_atom_site_fract_x
_atom_site_fract_y
_atom_site_fract_z
_atom_site_occupancy
Zn1 0.5000 0.0189 0.3499 1
Zn2 0.0000 0.9811 0.8499 1
Zn3 0.5000 0.4117 0.1807 1
Zn4 0.0000 0.0355 0.5000 1
Zn5 0.0000 0.4406 0.5000 1
Zn6 0.0000 0.5883 0.6807 1
Zn7 0.5000 0.5594 0.0000 1
Zn8 0.5000 0.4117 0.8193 1
Zn9 0.0000 0.9811 0.1501 1
Zn10 0.5000 0.9645 0.0000 1
Zn11 0.0000 0.5883 0.3193 1
Zn12 0.5000 0.0189 0.6501 1
Pt1 0.5000 0.1379 0.8426 1
Pt2 0.5000 0.2059 0.5000 1
Pt3 0.5000 0.1379 0.1574 1
Pt4 0.0000 0.7941 0.0000 1
Pt5 0.5000 0.4579 0.3851 1
Pt6 0.0000 0.5421 0.8851 1
Pt7 0.0000 0.8621 0.3426 1
Pt8 0.0000 0.5421 0.1149 1
Pt9 0.0000 0.8621 0.6574 1
Pt10 0.5000 0.4579 0.6149 1
Sm1 0.0000 0.2515 0.6946 1
Sm2 0.5000 0.7485 0.1946 1
Sm3 0.0000 0.2612 0.0000 1
Sm4 0.5000 0.7388 0.5000 1
Sm5 0.5000 0.7485 0.8054 1
Sm6 0.0000 0.2515 0.3054 1
```



No. 5
Density functional theory data (GGA-PBE) for a geometry-optimized Sm2Zn3Pt structure.

Results
Formation energy from the elements, eV per atom: -0.623
Total magnetic moment, μB per formula unit: 0.00
SG: No. 25

```
data_Sm2Zn3Pt
_chemical_formula_sum 'Sm2 Zn3 Pt1'
_symmetry_space_group_name_H-M 'P 1'
_symmetry_Int_Tables_number 1
_cell_length_a 3.6787
_cell_length_b 4.4866
_cell_length_c 7.7426
_cell_angle_alpha 90.00
_cell_angle_beta 90.00
_cell_angle_gamma 90.00
loop_
_symmetry_equiv_pos_as_xyz
'x,y,z'
loop_
_atom_site_label
_atom_site_fract_x
_atom_site_fract_y
_atom_site_fract_z
_atom_site_occupancy
Sm1 0.0000 0.0000 0.4823 1
Sm2 0.0000 0.5000 0.0214 1
Pt1 0.5000 0.5000 0.3344 1
Zn1 0.5000 0.5000 0.6746 1
Zn2 0.5000 0.0000 0.1580 1
Zn3 0.5000 0.0000 0.8293 1
```



No. 6
Density functional theory data (GGA-PBE) for a geometry-optimized Sm6Zn2Pt structure.

Results
Formation energy from the elements, eV per atom: -0.314
Total magnetic moment, μB per formula unit: 0.00
SG: No. 14

```
data_Sm6Zn2Pt
_chemical_formula_sum 'Sm12 Zn4 Pt2'
_symmetry_space_group_name_H-M 'P 1'
_symmetry_Int_Tables_number 1
_cell_length_a 6.1984
_cell_length_b 9.2849
_cell_length_c 8.8728
_cell_angle_alpha 90.00
_cell_angle_beta 80.87
_cell_angle_gamma 90.00
loop_
_symmetry_equiv_pos_as_xyz
'x,y,z'
loop_
_atom_site_label
_atom_site_fract_x
_atom_site_fract_y
_atom_site_fract_z
_atom_site_occupancy
Sm1 0.8938 0.9719 0.2074 1
Sm2 0.1062 0.0281 0.7926 1
Sm3 0.0875 0.3261 0.0521 1
Sm4 0.5875 0.1739 0.5521 1
Sm5 0.4125 0.8261 0.4479 1
Sm6 0.9125 0.6739 0.9479 1
Sm7 0.0872 0.3183 0.4758 1
Sm8 0.4128 0.8183 0.0242 1
Sm9 0.5872 0.1817 0.9758 1
Sm10 0.9128 0.6817 0.5242 1
Sm11 0.3938 0.5281 0.7074 1
Sm12 0.6062 0.4719 0.2926 1
Pt1 0.5000 0.5000 0.0000 1
Pt2 0.0000 0.0000 0.5000 1
Zn1 0.6479 0.9000 0.7275 1
Zn2 0.3521 0.1000 0.2725 1
Zn3 0.8521 0.4000 0.7725 1
Zn4 0.1479 0.6000 0.2275 1
```



No. 7
Density functional theory data (GGA-PBE) for a geometry-optimized SmZnPt structure.

Results
Formation energy from the elements, eV per atom: -0.744
Total magnetic moment, μB per formula unit: 0.00
SG: No. 216

```
data_SmZnPt
_chemical_formula_sum 'Sm1 Zn1 Pt1'
_symmetry_space_group_name_H-M 'P 1'
_symmetry_Int_Tables_number 1
_cell_length_a 4.6543
_cell_length_b 4.6543
_cell_length_c 4.6543
_cell_angle_alpha 60.00
_cell_angle_beta 60.00
_cell_angle_gamma 60.00
loop_
_symmetry_equiv_pos_as_xyz
'x,y,z'
loop_
_atom_site_label
_atom_site_fract_x
_atom_site_fract_y
_atom_site_fract_z
_atom_site_occupancy
Pt1 0.2500 0.2500 0.2500 1
Zn1 0.0000 0.0000 0.0000 1
Sm1 0.5000 0.5000 0.5000 1
```



No. 8
Density functional theory data (GGA-PBE) for a geometry-optimized SmZn12Pt6 structure.

Results
Formation energy from the elements, eV per atom: -0.397
Total magnetic moment, μB per formula unit: 0.00
SG: No. 166

```
data_SmZn12Pt6
_chemical_formula_sum 'Sm1 Zn12 Pt6'
_symmetry_space_group_name_H-M 'P 1'
_symmetry_Int_Tables_number 1
_cell_length_a 7.1801
_cell_length_b 7.1801
_cell_length_c 7.1801
_cell_angle_alpha 104.93
_cell_angle_beta 104.93
_cell_angle_gamma 104.93
loop_
_symmetry_equiv_pos_as_xyz
'x,y,z'
loop_
_atom_site_label
_atom_site_fract_x
_atom_site_fract_y
_atom_site_fract_z
_atom_site_occupancy
Zn1 0.1103 0.8897 0.5000 1
Zn2 0.6090 0.8624 0.6090 1
Zn3 0.8624 0.6090 0.6090 1
Zn4 0.6090 0.6090 0.8624 1
Zn5 0.1103 0.5000 0.8897 1
Zn6 0.5000 0.1103 0.8897 1
Zn7 0.5000 0.8897 0.1103 1
Zn8 0.1376 0.3910 0.3910 1
Zn9 0.8897 0.1103 0.5000 1
Zn10 0.3910 0.1376 0.3910 1
Zn11 0.3910 0.3910 0.1376 1
Zn12 0.8897 0.5000 0.1103 1
Sm1 0.0000 0.0000 0.0000 1
Pt1 0.2792 0.2792 0.7083 1
Pt2 0.2917 0.7208 0.7208 1
Pt3 0.2792 0.7083 0.2792 1
Pt4 0.7208 0.7208 0.2917 1
Pt5 0.7083 0.2792 0.2792 1
Pt6 0.7208 0.2917 0.7208 1
```